## Zr2ScCdBr (meta-GGA SCAN)

Data for Zr2ScCdBr at its PBEsol-relaxed geometry.

a = 5.271 Å, b = 5.271 Å, c = 5.266 Å
α = 90.00°, β = 90.00°, γ = 90.00°
Element x y z (fractional)
Zr 0.000 0.500 0.000
Zr 0.500 0.000 0.000
Sc 0.000 0.000 0.500
Cd 0.500 0.500 0.000
Br 0.500 0.500 0.500

Summary:
E ... -120.045 eV per cell
Space-group type ... No. 123